(1)
8
Lattice="-1.9839 -4.0107 -2.2072 3.1232 -2.9446 2.5434 -6.9025 -0.7638 7.5919" Properties=species:S:1:pos:R:3 comment="PmSm6In GGA-PBE relaxed" delta_e_f_ev_per_atom=-0.115 rho_g_cm3=7.5 sg="P4/mmm (123)" energy_ev_per_atom=-4.590 crystal_system=tetragonal pbc="T T T"
Sm -2.6610 -2.1900 0.7321
Sm 0.5697 -3.4776 0.1681
Sm -0.1074 -1.6570 3.1074
Sm -3.6719 -2.0514 7.0278
Sm -2.8816 -3.8595 3.9640
Sm -6.2254 -2.5845 4.6525
In 0.0000 0.0000 0.0000
Pm -3.4512 -0.3819 3.7959

***

(2)
3
Lattice="4.9052 0.0000 0.0000 2.4526 4.2480 0.0000 2.4526 1.4160 4.0051" Properties=species:S:1:pos:R:3 comment="SrInTc GGA-PBE relaxed" delta_e_f_ev_per_atom=0.704 rho_g_cm3=6.0 sg="F-43m (216)" e_above_lowest_polymorph_ev_per_fu=1.045 energy_ev_per_atom=-4.225 crystal_system=cubic pbc="T T T"
Sr 4.9052 2.8320 2.0025
Tc 7.3578 4.2480 3.0038
In 0.0000 0.0000 0.0000

***

(3)
10
Lattice="-1.4851 0.6588 -9.8866 6.6343 -2.1026 -1.1366 -4.4005 -3.9453 3.4879" Properties=species:S:1:pos:R:3 comment="La6CePm2Er GGA-PBE relaxed" delta_e_f_ev_per_atom=0.203 rho_g_cm3=6.7 sg="C2/m (12)" energy_ev_per_atom=-4.753 crystal_system=monoclinic pbc="T T T"
Ce 3.3172 -1.0513 -0.5683
La 3.1804 -2.8014 -7.8000
La 0.2473 -1.8719 -7.2974
La 2.3417 -2.3339 -3.8895
La 0.5015 -3.5172 -0.2379
La -1.5929 -3.0551 -3.6458
La -2.4316 -2.5876 0.2646
Er -0.7425 0.3294 -4.9433
Pm 1.1543 -4.9592 -5.9634
Pm -0.4055 -0.4298 -1.5720

***

(4)
10
Lattice="10.4671 -0.6339 0.9212 4.9838 4.4492 0.2246 6.0635 -2.5469 7.8095" Properties=species:S:1:pos:R:3 comment="TeSCl3 GGA-PBE relaxed" rho_g_cm3=2.5 sg="P-1 (2)" e_above_lowest_polymorph_ev_per_fu=0.000 raw_formation_energy_kj_per_mol_atoms=-39.1 energy_ev_per_atom=-2.967 crystal_system=triclinic pbc="T T T"
Cl 8.6578 -0.6566 5.3030
Cl 10.1848 2.2952 3.3314
Cl 12.9372 -1.7945 8.2067
Cl 10.7391 1.9443 6.9095
Cl 3.1447 1.5372 1.0712
Cl 16.9245 2.4447 4.9282
Te 10.4488 -1.3311 6.8331
Te 8.9464 2.6166 5.3804
S 15.2494 -0.1965 5.7166
S 14.6100 0.8488 7.4158

***

(5)
11
Lattice="3.4424 0.0000 0.0000 1.7212 8.7440 -0.0610 1.7212 4.0922 7.7275" Properties=species:S:1:pos:R:3 comment="Hf7Co2Bi2 GGA-PBE relaxed" delta_e_f_ev_per_atom=-0.247 rho_g_cm3=12.7 sg="Imm2 (44)" energy_ev_per_atom=-8.579 crystal_system=orthorhombic pbc="T T T"
Hf 3.4424 4.2752 7.4211
Hf 5.1636 7.3642 6.9014
Hf 3.4424 1.8283 2.1674
Hf 3.4424 8.7729 4.1977
Hf 1.7212 3.2682 4.4550
Hf 3.4424 4.9808 1.9328
Hf 3.4424 10.0610 7.0845
Bi 1.7212 7.5818 1.8849
Bi 3.4424 5.8134 4.8457
Co 1.7212 3.3663 1.0890
Co 5.1636 10.2813 5.2191

***

(6)
5
Lattice="-3.2129 1.2610 1.2585 1.6756 -0.5295 4.8082 1.8317 4.7790 -0.1121" Properties=species:S:1:pos:R:3 comment="Sm2ZnFeC GGA-PBE relaxed" delta_e_f_ev_per_atom=-0.251 rho_g_cm3=7.5 sg="P4/mmm (123)" energy_ev_per_atom=-5.930 crystal_system=tetragonal pbc="T T T"
Zn 0.1472 2.7553 2.9773
Sm 0.8378 -0.2647 2.4041
Sm 0.9158 2.3895 -0.0560
C 0.0000 0.0000 0.0000
Fe -1.6065 0.6305 0.6293

***

(7)
32
Lattice="6.7525 0.0000 0.0000 0.0000 7.7885 0.0000 0.0000 0.0000 9.8207" Properties=species:S:1:pos:R:3 comment="Ti5As3 GGA-PBE relaxed" delta_e_f_ev_per_atom=-0.884 rho_g_cm3=6.0 sg="Pnma (62)" e_above_lowest_polymorph_ev_per_fu=0.000 energy_ev_per_atom=-7.562 crystal_system=orthorhombic pbc="T T T"
As 6.1741 1.9471 0.2005
As 6.2775 7.7156 3.1907
As 2.9012 0.0729 1.7196
As 3.8513 7.7156 8.1010
As 0.4750 0.0729 6.6300
As 2.9012 3.8214 1.7196
As 3.8513 3.9671 8.1010
As 2.7978 5.8413 4.7098
As 0.4750 3.8214 6.6300
As 6.2775 3.9671 3.1907
As 0.5784 5.8413 9.6202
As 3.9547 1.9471 5.1109
Ti 0.1893 5.8413 4.9341
Ti 3.1870 5.8413 0.0238
Ti 2.2890 1.9471 6.9708
Ti 2.0391 0.4115 4.3206
Ti 4.4636 5.8413 2.8499
Ti 3.5656 1.9471 9.7969
Ti 4.5364 1.9471 2.6436
Ti 6.5632 1.9471 4.8865
Ti 1.1602 5.8413 2.2667
Ti 5.6652 5.8413 7.7602
Ti 5.4154 4.3057 0.5897
Ti 2.0391 3.4827 4.3206
Ti 5.4154 7.3770 0.5897
Ti 2.2161 5.8413 7.1771
Ti 1.3371 0.4115 9.2309
Ti 1.0873 1.9471 2.0605
Ti 1.3371 3.4827 9.2309
Ti 4.7134 4.3057 5.5001
Ti 5.5923 1.9471 7.5539
Ti 4.7134 7.3770 5.5001

***

(8)
5
Lattice="-2.7226 -3.5664 5.4305 6.4463 -2.2160 1.7765 0.7083 4.9526 3.6077" Properties=species:S:1:pos:R:3 comment="BaCa2ZnIn GGA-PBE relaxed" delta_e_f_ev_per_atom=0.958 rho_g_cm3=2.2 sg="P4/mmm (123)" e_above_lowest_polymorph_ev_per_fu=5.255 energy_ev_per_atom=-1.030 crystal_system=tetragonal pbc="T T T"
Zn 2.2160 -0.4149 5.4074
In 0.3541 2.4763 1.8039
Ca 3.2232 -1.1080 0.8883
Ca -1.3613 -1.7832 2.7152
Ba 0.0000 0.0000 0.0000

***

(9)
9
Lattice="4.8543 0.0000 0.0000 -2.4272 5.1684 0.2477 0.0000 -1.8402 8.7550" Properties=species:S:1:pos:R:3 comment="Na3Cd2Ag4 GGA-PBE relaxed" delta_e_f_ev_per_atom=-0.035 rho_g_cm3=5.4 sg="C2/m (12)" energy_ev_per_atom=-1.945 crystal_system=monoclinic pbc="T T T"
Na 2.4272 0.4805 3.4356
Na 0.0000 2.8477 5.5671
Na 0.0000 0.0000 0.0000
Ag 0.0000 -0.2336 5.5804
Ag 2.4272 2.2470 0.8401
Ag 2.4272 3.5618 3.4223
Ag 0.0000 1.0812 8.1625
Cd 0.0000 2.6004 2.2699
Cd 2.4272 0.7277 6.7328

***

(10)
6
Lattice="1.4922 0.4680 2.3552 -2.7921 0.4434 -0.0159 -2.1933 -13.6633 4.1047" Properties=species:S:1:pos:R:3 comment="HgOs2 GGA-PBE relaxed" delta_e_f_ev_per_atom=0.395 rho_g_cm3=19.3 sg="P-3m1 (164)" e_above_lowest_polymorph_ev_per_fu=0.000 energy_ev_per_atom=-7.192 crystal_system=trigonal pbc="T T T"
Hg -1.8994 -11.7722 5.2395
Hg -1.5938 -0.9798 1.2044
Os -2.9381 -9.3546 3.7204
Os -1.1952 -7.3854 3.9217
Os -0.5551 -3.3973 2.7235
Os -2.2979 -5.3665 2.5223

***

(11)
10
Lattice="5.9712 0.4383 0.3157 3.1586 5.0863 0.3157 3.1586 1.9113 4.7241" Properties=species:S:1:pos:R:3 comment="Li2PuUO6 GGA-PBE relaxed" rho_g_cm3=7.5 sg="R-3 (148)" raw_formation_energy_kj_per_mol_atoms=-269.2 energy_ev_per_atom=-8.710 crystal_system=trigonal pbc="T T T"
Li 3.5591 2.1537 1.5511
Li 8.7330 5.2845 3.8059
U 0.0003 0.0002 0.0001
O 6.3313 4.9668 4.5127
O 4.9516 2.1093 3.6514
O 8.1234 2.8926 3.2806
O 5.9574 2.4696 0.8434
O 7.3373 5.3272 1.7038
O 4.1658 4.5431 2.0750
Pu 6.1449 3.7184 2.6780

***

(12)
5
Lattice="-2.5310 -2.7799 1.4160 1.0038 -2.4521 -3.0197 3.9399 -2.0656 2.9871" Properties=species:S:1:pos:R:3 comment="LiCdPdO2 GGA-PBE relaxed" rho_g_cm3=4.9 sg="P4/mmm (123)" raw_formation_energy_kj_per_mol_atoms=-0.4 energy_ev_per_atom=-3.592 crystal_system=tetragonal pbc="T T T"
O 0.5019 -1.2260 -1.5098
O -1.2655 -1.3899 0.7080
Cd 1.9699 -1.0328 1.4936
Li 1.2063 -3.6488 0.6917
Pd 0.0000 0.0000 0.0000